Material: Tb2NdSmN4
Method: DFT, PBE
State: optimized geometry

The space group is P2/m (No. 10) and the conventional cell measures 6.1631, 3.5603 and 6.1669 Å, with angles of 90.00, 109.42 and 90.00 degrees. Symmetry generates all atoms from Tb at (0.0000, 0.0000, 0.0000), Tb at (0.5000, 0.5000, 0.0000), Nd at (0.0000, 0.5000, 0.5000), Sm at (0.5000, 0.0000, 0.5000), N at (0.2495, 0.5000, 0.2432) and N at (0.2545, 0.0000, 0.7583).

The density of states at the Fermi level is 0.26 states/eV per cell. The magnetization is 0.00 μB/f.u. The formation energy from raw total energies is -12.24 eV per formula unit.